# 1
Tm3NpIr8 | PBE | optimized geometry

a b c (Å): 5.3343 5.3343 9.2299
angles (deg): 73.20 73.20 60.00
Fractional positions:
1 Ir 0.9372 0.9372 0.6865
2 Ir 0.6875 0.6875 0.9374
3 Ir 0.4380 0.9352 0.1887
4 Ir 0.1874 0.1874 0.4377
5 Ir 0.9352 0.4380 0.1887
6 Ir 0.4390 0.9372 0.6865
7 Ir 0.9372 0.4390 0.6865
8 Ir 0.4380 0.4380 0.1887
9 Tm 0.3743 0.3743 0.8770
10 Tm 0.4994 0.4994 0.5018
11 Tm 0.0008 0.0008 0.9977
12 Np 0.8757 0.8757 0.3728

## Properties
Symmetry: No. 160
Energy of formation from the pure elements: -0.7215 eV/atom

---

# 2
TmNpIr2 | PBE | optimized geometry

a b c (Å): 3.1677 4.9760 4.9760
angles (deg): 90.00 90.00 90.00
Fractional positions:
1 Tm 0.5000 0.0000 0.0000
2 Ir 0.0000 0.5000 0.0000
3 Ir 0.0000 0.0000 0.5000
4 Np 0.5000 0.5000 0.5000

## Properties
Symmetry: No. 123
ΔE to the lowest computed polymorph: 0.00 kcal/mol of atoms
Energy of formation from the pure elements: -0.5601 eV/atom

---

# 3
TmNpIr2 | PBE | optimized geometry

a b c (Å): 4.8112 4.8112 4.8112
angles (deg): 60.00 60.00 60.00
Fractional positions:
1 Np 0.5000 0.5000 0.5000
2 Ir 0.7500 0.7500 0.7500
3 Ir 0.2500 0.2500 0.2500
4 Tm 0.0000 0.0000 0.0000

## Properties
Symmetry: No. 225
ΔE to the lowest computed polymorph: 0.22 kcal/mol of atoms
Energy of formation from the pure elements: -0.5506 eV/atom

---

# 4
NpUIr | PBE | optimized geometry

a b c (Å): 2.7601 4.7265 4.7265
angles (deg): 120.00 90.00 90.00
Fractional positions:
1 Np 0.1671 0.6667 0.3333
2 U 0.1667 0.0000 0.0000
3 Ir 0.6662 0.3333 0.6667

## Properties
Symmetry: No. 187
ΔE to the lowest computed polymorph: 0.00 kcal/mol of atoms
Energy of formation from the pure elements: -0.2222 eV/atom

---

# 5
NpUIr4 | PBE | optimized geometry

a b c (Å): 5.3330 5.3330 5.3330
angles (deg): 60.00 60.00 60.00
Fractional positions:
1 Np 0.0000 0.0000 0.0000
2 Ir 0.6250 0.6250 0.1251
3 Ir 0.6250 0.6250 0.6250
4 Ir 0.6250 0.1251 0.6250
5 Ir 0.1251 0.6250 0.6250
6 U 0.2500 0.2500 0.2500

## Properties
Symmetry: No. 216
Energy of formation from the pure elements: -0.4965 eV/atom

---

# 6
NpUIr6 | PBE | optimized geometry

a b c (Å): 4.0458 4.0458 8.1121
angles (deg): 90.00 90.00 90.00
Fractional positions:
1 U 0.0000 0.0000 0.5000
2 Ir 0.5000 0.5000 0.5000
3 Ir 0.5000 0.0000 0.7467
4 Ir 0.0000 0.5000 0.7467
5 Ir 0.5000 0.0000 0.2533
6 Ir 0.5000 0.5000 0.0000
7 Ir 0.0000 0.5000 0.2533
8 Np 0.0000 0.0000 0.0000

## Properties
Symmetry: No. 123
Energy of formation from the pure elements: -0.5015 eV/atom

---

# 7
NpUIr | PBE | optimized geometry

a b c (Å): 4.4822 4.4824 6.1712
angles (deg): 90.00 90.00 90.00
Fractional positions:
1 Ir 0.0000 0.0000 0.0000
2 Ir 0.5000 0.5000 0.0000
3 Np 0.5000 0.0000 0.7456
4 Np 0.0000 0.5000 0.2544
5 U 0.0000 0.0000 0.5000
6 U 0.5000 0.5000 0.5000

## Properties
Symmetry: No. 129
ΔE to the lowest computed polymorph: 10.09 kcal/mol of atoms
Energy of formation from the pure elements: 0.2155 eV/atom

---

# 8
NpUIr | PBE | optimized geometry

a b c (Å): 3.3311 3.3311 5.4519
angles (deg): 107.79 107.79 90.00
Fractional positions:
1 Ir 0.9994 0.9994 0.9988
2 Np 0.3131 0.3131 0.6263
3 U 0.6875 0.6875 0.3749

## Properties
Symmetry: No. 107
ΔE to the lowest computed polymorph: 0.84 kcal/mol of atoms
Energy of formation from the pure elements: -0.1859 eV/atom

---

# 9
NpUZnIr | PBE | optimized geometry

a b c (Å): 4.7131 4.7131 4.7131
angles (deg): 60.00 60.00 60.00
Fractional positions:
1 U 0.2500 0.2500 0.2500
2 Zn 0.7500 0.7500 0.7500
3 Ir 0.0000 0.0000 0.0000
4 Np 0.5000 0.5000 0.5000

## Properties
Symmetry: No. 216
Energy of formation from the pure elements: -0.1949 eV/atom

---

# 10
NpIr2W | PBE | optimized geometry

a b c (Å): 2.7795 2.7795 9.9225
angles (deg): 81.95 81.95 60.00
Fractional positions:
1 Ir 0.2430 0.2430 0.2711
2 Ir 0.7570 0.7570 0.7289
3 W 0.5000 0.5000 0.5000
4 Np 0.0000 0.0000 0.0000

## Properties
Symmetry: No. 166
Energy of formation from the pure elements: -0.0788 eV/atom

---

# 11
YNpIr2 | PBE | optimized geometry

a b c (Å): 4.5422 4.5422 5.4249
angles (deg): 65.25 65.25 60.00
Fractional positions:
1 Np 0.5000 0.5000 0.5000
2 Ir 0.2208 0.2208 0.3377
3 Ir 0.7792 0.7792 0.6623
4 Y 0.0000 0.0000 0.0000

## Properties
Symmetry: No. 166
Energy of formation from the pure elements: -0.4879 eV/atom

---

# 12
YNpIr2 | PBE | optimized geometry

a b c (Å): 3.7398 4.2773 5.5842
angles (deg): 90.00 109.60 90.00
Fractional positions:
1 Y 0.4426 0.5000 0.4244
2 Ir 0.9913 0.0000 0.5222
3 Ir 0.1745 0.5000 0.8876
4 Np 0.7226 0.0000 0.9838

## Properties
Symmetry: No. 38
Energy of formation from the pure elements: -0.5191 eV/atom

---

# 13
YNpIr2 | PBE | optimized geometry

a b c (Å): 3.4045 3.4045 6.9870
angles (deg): 90.00 90.00 90.00
Fractional positions:
1 Ir 0.0000 0.0000 0.7659
2 Ir 0.0000 0.0000 0.2341
3 Y 0.5000 0.5000 0.5000
4 Np 0.5000 0.5000 0.0000

## Properties
Symmetry: No. 123
Energy of formation from the pure elements: -0.4911 eV/atom

---

# 14
YNpIr4 | PBE | optimized geometry

a b c (Å): 5.3553 5.3553 5.3553
angles (deg): 60.00 60.00 60.00
Fractional positions:
1 Ir 0.6250 0.6250 0.6250
2 Ir 0.1249 0.6250 0.6250
3 Ir 0.6250 0.1249 0.6250
4 Ir 0.6250 0.6250 0.1249
5 Y 0.0000 0.0000 0.0000
6 Np 0.2500 0.2500 0.2500

## Properties
Symmetry: No. 216
Energy of formation from the pure elements: -0.5945 eV/atom

---

# 15
NpZnIr2 | PBE | optimized geometry

a b c (Å): 3.7770 4.2378 4.2378
angles (deg): 90.00 90.00 90.00
Fractional positions:
1 Zn 0.5000 0.0000 0.0000
2 Np 0.5000 0.5000 0.5000
3 Ir 0.0000 0.0000 0.5000
4 Ir 0.0000 0.5000 0.0000

## Properties
Symmetry: No. 123
Energy of formation from the pure elements: -0.2756 eV/atom

---

# 16
Np2Zn2Ir3 | PBE | optimized geometry

a b c (Å): 4.3198 7.2502 4.6404
angles (deg): 71.36 89.98 107.31
Fractional positions:
1 Np 0.1177 0.2351 0.3823
2 Np 0.8823 0.7649 0.6177
3 Zn 0.3804 0.7609 0.1199
4 Zn 0.6196 0.2391 0.8801
5 Ir 0.0000 0.0000 0.0000
6 Ir 0.2476 0.4952 0.7525
7 Ir 0.7524 0.5048 0.2475

## Properties
Symmetry: No. 71
Energy of formation from the pure elements: -0.1922 eV/atom

---

# 17
NpZn2Ir2 | PBE | optimized geometry

a b c (Å): 4.0393 4.0393 5.7235
angles (deg): 90.00 90.00 112.37
Fractional positions:
1 Ir 0.5000 0.5000 0.2491
2 Ir 0.5000 0.5000 0.7509
3 Np 0.0000 0.0000 0.0000
4 Zn 0.8228 0.1772 0.5000
5 Zn 0.1772 0.8228 0.5000

## Properties
Symmetry: No. 65
Energy of formation from the pure elements: 0.0126 eV/atom

---

# 18
NpZn2Ir | PBE | optimized geometry

a b c (Å): 4.6112 4.6112 4.6114
angles (deg): 60.00 60.00 60.00
Fractional positions:
1 Zn 0.2500 0.2500 0.2499
2 Zn 0.7500 0.7500 0.7501
3 Ir 0.0000 0.0000 0.0000
4 Np 0.5000 0.5000 0.5000

## Properties
Symmetry: No. 225
Energy of formation from the pure elements: 0.0847 eV/atom

---

# 19
NpZn2Ir | PBE | optimized geometry

a b c (Å): 4.5906 5.0863 6.4408
angles (deg): 90.00 90.00 107.48
Fractional positions:
1 Zn 0.5852 0.2670 0.9483
2 Zn 0.4148 0.7330 0.0517
3 Zn 0.5852 0.2670 0.5517
4 Zn 0.4148 0.7330 0.4483
5 Ir 0.8784 0.6153 0.2500
6 Ir 0.1216 0.3847 0.7500
7 Np 0.9523 0.8424 0.7500
8 Np 0.0477 0.1576 0.2500

## Properties
Symmetry: No. 11
Energy of formation from the pure elements: -0.1965 eV/atom

---

# 20
NpZnIr2 | PBE | optimized geometry

a b c (Å): 3.0798 3.0798 6.9799
angles (deg): 90.00 90.00 90.00
Fractional positions:
1 Np 0.5000 0.5000 0.0000
2 Ir 0.0000 0.0000 0.2762
3 Ir 0.0000 0.0000 0.7238
4 Zn 0.5000 0.5000 0.5000

## Properties
Symmetry: No. 123
Energy of formation from the pure elements: -0.2171 eV/atom

---

# 21
ZrNpIr2 | PBE | optimized geometry

a b c (Å): 3.0643 4.9691 4.9691
angles (deg): 90.00 90.00 90.00
Fractional positions:
1 Ir 0.0000 0.5000 0.0000
2 Ir 0.0000 0.0000 0.5000
3 Zr 0.5000 0.0000 0.0000
4 Np 0.5000 0.5000 0.5000

## Properties
Symmetry: No. 123
ΔE to the lowest computed polymorph: 0.00 kcal/mol of atoms
Energy of formation from the pure elements: -0.4797 eV/atom

---

# 22
ZrNpIr2 | PBE | optimized geometry

a b c (Å): 4.7557 4.7557 4.7557
angles (deg): 60.00 60.00 60.00
Fractional positions:
1 Np 0.0000 0.0000 0.0000
2 Zr 0.5000 0.5000 0.5000
3 Ir 0.7500 0.7500 0.7500
4 Ir 0.2500 0.2500 0.2500

## Properties
Symmetry: No. 225
ΔE to the lowest computed polymorph: 0.74 kcal/mol of atoms
Energy of formation from the pure elements: -0.4476 eV/atom

---

# 23
ZrNpIr | PBE | optimized geometry

a b c (Å): 3.7916 3.7916 8.2854
angles (deg): 90.00 90.00 90.00
Fractional positions:
1 Zr 0.0000 0.5000 0.1294
2 Zr 0.5000 0.0000 0.8706
3 Ir 0.5000 0.0000 0.2057
4 Ir 0.0000 0.5000 0.7943
5 Np 0.5000 0.5000 0.5000
6 Np 0.0000 0.0000 0.5000

## Properties
Symmetry: No. 129
Energy of formation from the pure elements: -0.3230 eV/atom

---

# 24
IrO | PBE | optimized geometry

a b c (Å): 2.7732 2.7732 7.0325
angles (deg): 90.00 90.00 120.00
Fractional positions:
1 Ir 0.3333 0.6667 0.6769
2 Ir 0.6667 0.3333 0.1769
3 O 0.6667 0.3333 0.9051
4 O 0.3333 0.6667 0.4051

## Properties
Symmetry: No. 186
DFT total energy: -0.2496 Ha/atom

---

# 25
IrO | PBE | optimized geometry

a b c (Å): 9.0713 9.0713 2.7370
angles (deg): 90.00 90.00 120.00
Fractional positions:
1 Ir 0.5913 0.6407 0.2500
2 Ir 0.6407 0.0494 0.7500
3 Ir 0.4087 0.3594 0.7500
4 Ir 0.3594 0.9506 0.2500
5 Ir 0.0494 0.4087 0.2500
6 Ir 0.9506 0.5913 0.7500
7 O 0.5916 0.8060 0.7500
8 O 0.8060 0.2144 0.2500
9 O 0.7856 0.5916 0.2500
10 O 0.2144 0.4084 0.7500
11 O 0.4084 0.1940 0.2500
12 O 0.1940 0.7856 0.7500

## Properties
Symmetry: No. 176
DFT total energy: -0.2480 Ha/atom

---

# 26
IrO | PBE | optimized geometry

a b c (Å): 7.9052 5.3036 5.2515
angles (deg): 90.00 90.00 90.00
Fractional positions:
1 O 0.6250 0.1549 0.7294
2 O 0.9349 0.4511 0.8925
3 O 0.4349 0.0489 0.1075
4 O 0.3750 0.6549 0.7706
5 O 0.8750 0.8451 0.2294
6 O 0.1250 0.3451 0.2706
7 O 0.0651 0.9511 0.6075
8 O 0.5651 0.5489 0.3925
9 Ir 0.3133 0.5301 0.4121
10 Ir 0.1867 0.4699 0.9121
11 Ir 0.6867 0.0301 0.0879
12 Ir 0.7602 0.4838 0.1559
13 Ir 0.2398 0.9838 0.3441
14 Ir 0.8133 0.9699 0.5879
15 Ir 0.7398 0.5162 0.6559
16 Ir 0.2602 0.0162 0.8441

## Properties
Symmetry: No. 19
DFT total energy: -0.2543 Ha/atom

---

# 27
IrO | PBE | optimized geometry

a b c (Å): 8.7074 8.7074 2.7599
angles (deg): 90.00 90.00 90.00
Fractional positions:
1 O 0.6884 0.0000 0.5000
2 O 0.8116 0.5000 0.0000
3 O 0.0000 0.6884 0.5000
4 O 0.5000 0.1884 0.0000
5 O 0.1884 0.5000 0.0000
6 O 0.3116 0.0000 0.5000
7 O 0.0000 0.3116 0.5000
8 O 0.5000 0.8116 0.0000
9 Ir 0.8491 0.8491 0.5000
10 Ir 0.3491 0.6509 0.0000
11 Ir 0.1509 0.1509 0.5000
12 Ir 0.8491 0.1509 0.5000
13 Ir 0.6509 0.6509 0.0000
14 Ir 0.6509 0.3491 0.0000
15 Ir 0.1509 0.8491 0.5000
16 Ir 0.3491 0.3491 0.0000

## Properties
Symmetry: No. 139
DFT total energy: -0.2587 Ha/atom